1.
First-principles (PBE) data for a relaxed structure of PrSiAu, as listed in OQMD.

Unit cell a=6.684 b=6.684 c=6.684 alpha=90.00 beta=90.00 gamma=90.00
Space group F-43m (No. 216)
Unique sites:
Pr  0.000  0.000  0.000
Si  0.000  0.000  0.500
Au  0.250  0.250  0.250

Energy   -60.66 eV per cell



2.
First-principles (PBE) data for a relaxed structure of PrGdIn2Pd4, as listed in OQMD.

Unit cell a=4.6369 b=4.6369 c=9.0973 alpha=90.00 beta=90.00 gamma=120.00
Space group P-6m2 (No. 187)
Unique sites:
Pr  0.0000  0.0000  0.0000
Gd  0.3333  0.6667  0.5000
In  0.6667  0.3333  0.2549
Pd  0.0000  0.0000  0.3396
Pd  0.3333  0.6667  0.1712

Energy   -41.98 eV per cell



3.
First-principles (PBE) data for a relaxed structure of ReNiPdPb, as listed in OQMD.

Unit cell a=6.407 b=6.407 c=6.407 alpha=90.00 beta=90.00 gamma=90.00
Space group F-43m (No. 216)
Unique sites:
Re  0.000  0.000  0.000
Ni  0.250  0.250  0.750
Pd  0.250  0.250  0.250
Pb  0.000  0.000  0.500

Energy   -97.33 eV per cell



4.
First-principles (PBE) data for a relaxed structure of MgFeSiNi, as listed in OQMD.

Unit cell a=5.873 b=5.873 c=5.873 alpha=90.00 beta=90.00 gamma=90.00
Space group F-43m (No. 216)
Unique sites:
Mg  0.000  0.000  0.000
Fe  0.000  0.000  0.500
Si  0.250  0.250  0.250
Ni  0.250  0.250  0.750

Energy   -83.75 eV per cell
Excess energy over the best structure of this formula in the dataset   217 meV/atom



5.
First-principles (PBE) data for a relaxed structure of La2Cu2SiSn, as listed in OQMD.

Unit cell a=4.4252 b=4.4252 c=8.1658 alpha=90.00 beta=90.00 gamma=120.00
Space group P-6m2 (No. 187)
Unique sites:
La  0.0000  0.0000  0.2380
Cu  0.3333  0.6667  0.0000
Cu  0.6667  0.3333  0.5000
Si  0.6667  0.3333  0.0000
Sn  0.3333  0.6667  0.5000

Energy   -30.20 eV per cell



6.
First-principles (PBE) data for a relaxed structure of DyHo2In3Pd3, as listed in OQMD.

Unit cell a=3.820 b=13.339 c=7.696 alpha=90.00 beta=90.00 gamma=90.00
Space group Amm2 (No. 38)
Unique sites:
Dy  0.000  0.000  0.000
Ho  0.000  0.204  0.611
In  0.500  0.000  0.667
In  0.500  0.130  0.277
Pd  0.000  0.000  0.408
Pd  0.500  0.167  0.907

Energy   -89.76 eV per cell



7.
First-principles (PBE) data for a relaxed structure of NdTmTlNi2, as listed in OQMD.

Unit cell a=3.698 b=3.934 c=14.589 alpha=90.00 beta=90.00 gamma=90.00
Space group Amm2 (No. 38)
Unique sites:
Nd  0.000  0.000  0.000
Tm  0.000  0.000  0.278
Tl  0.500  0.000  0.643
Ni  0.500  0.000  0.431
Ni  0.500  0.000  0.834

Energy   -49.87 eV per cell



| no. | calculated density (g cm⁻³) |
| --- | --- |
| 1 | 8.1 |
| 2 | 9.3 |
| 3 | 14.1 |
| 4 | 5.5 |
| 5 | 6.6 |
| 6 | 9.8 |
| 7 | 9.9 |